18
Lattice="4.800 0.000 0.000 0.000 4.800 0.000 0.000 0.000 9.185" Properties=species:S:1:pos:R:3 comment="PBE with a Hubbard U NaGeMoO6, relaxed" density_g_cm3=4.5 vol_a3_per_atom=11.76 total_energy_ev_per_atom=-6.127 spacegroup="P4_2nm (102)" pbc="T T T"
Na 0.000 0.000 0.000
Na 2.400 2.400 4.593
Ge 0.000 0.000 3.062
Ge 2.400 2.400 7.655
Mo 0.000 0.000 6.114
Mo 2.400 2.400 1.521
O 0.830 0.830 4.557
O 1.039 1.039 1.790
O 1.072 1.072 7.323
O 1.328 3.472 2.731
O 1.362 3.439 6.383
O 1.570 3.230 9.150
O 3.230 1.570 9.150
O 3.439 1.362 6.383
O 3.472 1.328 2.731
O 3.728 3.728 7.323
O 3.762 3.762 1.790
O 3.970 3.970 4.557